Compound: KNiBO3
Source: Alexandria via LeMat-Bulk
Functional: PBE+U
Structure: relaxed

Properties
**VASP energy**: -0.20930 Ha/atom

extended XYZ file:
```
12
Lattice="6.717 0.000 0.000 0.000 2.789 0.000 -2.218 0.000 8.954" Properties=species:S:1:pos:R:3 pbc="T T T"
K 1.001 0.697 1.403
K 3.498 2.092 7.551
Ni -0.002 2.092 7.114
Ni 4.501 0.697 1.840
B 1.608 0.697 5.075
B 2.891 2.092 3.879
O -1.026 0.697 7.776
O 1.387 2.092 4.273
O 1.197 0.697 6.362
O 3.302 2.092 2.592
O 3.112 0.697 4.681
O 5.525 2.092 1.178
```